The following is a GGA+U calculation of an optimized crystal structure of Zr2MnOsO, from Alexandria.

Total energy: -7.763 eV/atom
Space-group type: P4/mmm (123)

Cell lengths 5.0755, 5.0755, 3.4762 Å; angles 90.00, 90.00, 90.00 degrees
Fractional coordinates of all 5 atoms:
Zr (0.0000, 0.5000, 0.0000)
Zr (0.5000, 0.0000, 0.0000)
Mn (0.0000, 0.0000, 0.0000)
Os (0.5000, 0.5000, 0.5000)
O (0.0000, 0.0000, 0.5000)